[1]
The following is a DFT calculation (PBE) of an optimized crystal structure of LaMgTe3Au.

```
LaMgTe3Au
1.0
4.405 0.000 0.000
0.000 12.737 0.000
0.000 0.000 13.123
Au La Mg Te
4 4 4 12
Cartesian
3.304 3.470 3.098
3.304 9.838 3.463
1.101 2.899 9.660
1.101 9.267 10.025
1.101 5.908 2.490
1.101 12.276 4.071
3.304 0.461 9.052
3.304 6.829 10.633
1.101 9.598 1.572
1.101 3.230 4.989
3.304 9.507 8.134
3.304 3.139 11.550
3.304 7.736 0.782
3.304 11.900 1.662
1.101 2.283 2.060
1.101 8.651 4.501
3.304 5.531 4.900
3.304 1.367 5.780
1.101 11.370 7.343
1.101 7.206 8.223
3.304 4.086 8.622
3.304 10.454 11.062
1.101 0.837 11.461
1.101 5.001 12.341
```

Properties
M_tot = 0.0 μB per formula unit

---

[2]
The following is a DFT calculation (PBE) of an optimized crystal structure of LaMgTe3Au.

```
LaMgTe3Au
1.0
11.646 0.000 0.000
0.000 2.139 7.645
0.000 -2.139 7.645
Au La Mg Te
2 2 2 6
Cartesian
0.000 0.000 7.296
5.823 0.000 7.993
2.911 0.000 0.000
8.734 0.000 0.000
5.823 0.000 2.283
0.000 0.000 13.006
0.000 0.000 1.426
2.085 0.000 5.296
9.560 0.000 5.296
3.737 0.000 9.993
7.908 0.000 9.993
5.823 0.000 13.863
```

Properties
M_tot = 0.0 μB per formula unit

---

no.,E above lowest polymorph (meV/atom),total DFT energy (no corrections) (eV/atom)
1,17.8,-4.073
2,0.0,-4.091